# NdSmCu2Si2

Crystalline NdSmCu2Si2 at its relaxed geometry (PBE, Alexandria). Values from VASP.

```
&SYSTEM
  ibrav = 0, nat = 6, ntyp = 4
/
ATOMIC_SPECIES
Nd 144.24 Nd.upf
Sm 150.36 Sm.upf
Cu 63.55 Cu.upf
Si 28.09 Si.upf
ATOMIC_POSITIONS angstrom
Nd 0.000 0.000 0.000
Sm 0.000 0.000 3.913
Cu 0.000 2.430 5.828
Cu 2.105 1.215 1.998
Si 0.000 2.430 1.988
Si 2.105 1.215 5.838
CELL_PARAMETERS angstrom
4.209 0.000 0.000
-2.105 3.645 0.000
0.000 0.000 7.826
```

Properties
M_tot = 0.0 μB/f.u.
Uncorrected formation energy = -630 meV per atom
D(E_F) = 0.345 states/eV/atom

***

# K3Tm3GaS8

Crystalline K3Tm3GaS8 at its relaxed geometry (PBE, Alexandria). Values from VASP.

```
&SYSTEM
  ibrav = 0, nat = 15, ntyp = 4
/
ATOMIC_SPECIES
K 39.10 K.upf
Tm 168.93 Tm.upf
Ga 69.72 Ga.upf
S 32.06 S.upf
ATOMIC_POSITIONS angstrom
K -1.942 -1.121 7.552
K -1.942 1.121 15.105
K 0.000 2.243 7.552
Tm -3.885 0.000 11.328
Tm -1.942 1.121 3.776
Tm 1.942 1.121 3.776
Ga 0.000 0.000 11.328
S 0.000 0.000 5.287
S -1.837 -1.061 12.755
S 0.000 -2.121 9.902
S -1.837 1.061 9.902
S 1.837 -1.061 12.755
S 0.000 2.121 12.755
S 1.837 1.061 9.902
S 0.000 0.000 17.370
CELL_PARAMETERS angstrom
3.885 2.243 7.552
-3.885 2.243 7.552
0.000 -4.486 7.552
```

Properties
M_tot = 0.0 μB/f.u.
Uncorrected formation energy = -1498 meV per atom
D(E_F) = 0.865 states/eV/atom

***

# Mo2Pt

Crystalline Mo2Pt at its relaxed geometry (PBE, Alexandria). Values from VASP.

```
&SYSTEM
  ibrav = 0, nat = 6, ntyp = 2
/
ATOMIC_SPECIES
Mo 95.94 Mo.upf
Pt 195.08 Pt.upf
ATOMIC_POSITIONS angstrom
Mo 3.966 0.856 0.000
Mo 0.856 2.253 0.000
Mo 2.253 0.856 2.560
Mo -0.856 2.253 2.560
Pt 0.000 0.000 1.280
Pt 0.000 0.000 3.840
CELL_PARAMETERS angstrom
-3.109 3.109 2.560
3.109 -3.109 2.560
3.109 3.109 -2.560
```

Properties
Energy above the most stable polymorph in this dataset = 153.2 meV per atom
ΔE_f = -0.01 eV per atom
M_tot = 0.0 μB/f.u.
D(E_F) = 0.779 states/eV/atom

***

# Bi3PW

Crystalline Bi3PW at its relaxed geometry (PBE, Alexandria). Values from VASP.

```
&SYSTEM
  ibrav = 0, nat = 5, ntyp = 3
/
ATOMIC_SPECIES
Bi 208.98 Bi.upf
P 30.97 P.upf
W 183.84 W.upf
ATOMIC_POSITIONS angstrom
Bi 0.000 0.000 2.670
Bi 0.000 2.670 0.000
Bi 2.670 0.000 0.000
P 2.670 2.670 2.670
W 0.000 0.000 0.000
CELL_PARAMETERS angstrom
5.339 0.000 0.000
0.000 5.339 0.000
0.000 0.000 5.339
```

Properties
Energy above the most stable polymorph in this dataset = 0.0 meV per atom
ΔE_f = 1.04 eV per atom
M_tot = 0.0 μB/f.u.
D(E_F) = 0.540 states/eV/atom

***

# La2InPd3

Crystalline La2InPd3 at its relaxed geometry (PBE, Alexandria). Values from VASP.

```
&SYSTEM
  ibrav = 0, nat = 6, ntyp = 3
/
ATOMIC_SPECIES
La 138.91 La.upf
In 114.82 In.upf
Pd 106.42 Pd.upf
ATOMIC_POSITIONS angstrom
La 0.000 0.000 1.996
La 0.000 0.000 9.068
In 0.000 0.000 5.532
Pd 2.342 0.000 0.000
Pd 2.342 0.000 4.089
Pd 0.000 2.824 1.443
CELL_PARAMETERS angstrom
-2.342 2.824 5.532
2.342 -2.824 5.532
2.342 2.824 -5.532
```

Properties
ΔE_f = -0.66 eV per atom
M_tot = 0.0 μB/f.u.
D(E_F) = 0.639 states/eV/atom

***

# HgTeIr2

Crystalline HgTeIr2 at its relaxed geometry (PBE, Alexandria). Values from VASP.

```
&SYSTEM
  ibrav = 0, nat = 4, ntyp = 3
/
ATOMIC_SPECIES
Hg 200.59 Hg.upf
Te 127.60 Te.upf
Ir 192.22 Ir.upf
ATOMIC_POSITIONS angstrom
Hg 0.000 0.000 0.000
Te 0.000 0.000 3.696
Ir 1.570 1.570 1.962
Ir 1.570 1.570 5.429
CELL_PARAMETERS angstrom
3.140 0.000 0.000
0.000 3.140 0.000
0.000 0.000 7.391
```

Properties
Energy above the most stable polymorph in this dataset = 115.4 meV per atom
M_tot = 0.0 μB/f.u.
Uncorrected formation energy = 523 meV per atom
D(E_F) = 0.699 states/eV/atom